Here is a geometry-optimized Li2NpUN4 structure from the Alexandria database. Energies are from GGA-PBE.

Cell lengths 4.3390, 4.3390, 11.1474 Å; angles 90.00, 90.00, 90.00 degrees
Space group I-4m2 (No. 119)
One atom of each set of equivalent atoms:
Li: 0.0000 0.0000 0.0000
Li: 0.0000 0.5000 0.2500
Np: 0.0000 0.0000 0.5000
U: 0.0000 0.5000 0.7500
N: 0.0000 0.0000 0.2866
N: 0.0000 0.5000 0.5456

Properties
ΔE_f (raw): -1.127 eV/atom
V: 13.1 A^3/atom
total DFT energy (no corrections): -8.80 eV per atom
theoretical density: 8.6 g/cm3